Compound: CdPRu2
Source: the Alexandria database
Functional: PBE
Structure: relaxed

Cell: 4.3553 4.3553 3.1043 Å, 90.00 90.00 90.00°
Sites, in units of the cell vectors:
Cd: 0.0000 0.0000 0.0000
P: 0.5000 0.5000 0.0000
Ru: 0.0000 0.5000 0.5000
Ru: 0.5000 0.0000 0.5000

Output
ΔH_f (0 K)   0.29 eV/atom
Calculated volume   58.9 Å³/cell
Total magnetization   0.00 Bohr magnetons per cell
D(E_F)   4.54 states/eV/cell
ΔE to the lowest computed polymorph   415 meV/atom